First-principles (PBE-GGA) data for AcMg4In15 after structural relaxation, as listed in the Alexandria database.

Cell: 4.725 4.725 23.230 Å, 90.00 90.00 90.00°
Fractional coordinates of all 20 atoms:
Ac: 0.000 0.000 0.000
Mg: 0.000 0.000 0.206
Mg: 0.000 0.000 0.402
Mg: 0.000 0.000 0.598
Mg: 0.000 0.000 0.794
In: 0.500 0.500 0.000
In: 0.500 0.500 0.209
In: 0.500 0.500 0.404
In: 0.500 0.500 0.596
In: 0.500 0.500 0.791
In: 0.500 0.000 0.112
In: 0.500 0.000 0.305
In: 0.500 0.000 0.500
In: 0.500 0.000 0.695
In: 0.500 0.000 0.888
In: 0.000 0.500 0.112
In: 0.000 0.500 0.305
In: 0.000 0.500 0.500
In: 0.000 0.500 0.695
In: 0.000 0.500 0.888

Summary:
- Energy: -0.09833 hartree per atom
- DFT formation energy: -0.098 eV/atom